1.
The following is a DFT calculation (PBE) of LaTb2SmAs4 after structural relaxation.

Unit cell a=4.221 b=7.301 c=7.306 alpha=70.54 beta=90.00 gamma=90.00
Fractional positions:
Sm 0.500 0.500 0.000
La 0.000 0.500 0.500
As 0.000 0.243 0.249
As 0.000 0.757 0.751
As 0.500 0.760 0.243
As 0.500 0.240 0.757
Tb 0.500 0.000 0.500
Tb 0.000 0.000 0.000

***

2.
The following is a DFT calculation (PBE) of NaHfAl after structural relaxation.

Properties
energy above the lowest structure with this stoichiometry: 0.50 eV per formula unit

Unit cell a=5.491 b=3.086 c=8.802 alpha=100.06 beta=74.50 gamma=106.32
Fractional positions:
Na 0.076 0.182 0.324
Na 0.621 0.865 0.145
Hf 0.031 0.846 0.698
Hf 0.514 0.517 0.556
Al 0.134 0.530 0.963
Al 0.550 0.170 0.827

***

3.
The following is a DFT calculation (PBE) of Li2PdCl2 after structural relaxation.

Properties
energy above the lowest structure with this stoichiometry: 0.45 eV per formula unit
energy relative to the elements, uncorrected: -377 kJ/mol of formula units

Unit cell a=4.792 b=4.792 c=5.439 alpha=63.86 beta=63.86 gamma=90.00
Fractional positions:
Li 0.700 0.700 0.600
Li 0.300 0.300 0.400
Pd 0.000 0.000 0.000
Cl 0.250 0.750 0.500
Cl 0.750 0.250 0.500

***

4.
The following is a DFT calculation (PBE) of LiMn2Cl5 after structural relaxation.

Properties
energy relative to the elements, uncorrected: -907 kJ/mol of formula units

Unit cell a=6.429 b=6.823 c=6.889 alpha=60.32 beta=65.37 gamma=90.00
Last column: magnetic moment on the atom in μB.
Fractional positions:
Mn 0.523 0.974 0.052  4.43
Mn 0.947 0.381 0.237  4.44
Cl 0.268 0.747 0.006  0.06
Cl 0.904 0.168 0.664  0.08
Cl 0.662 0.622 0.267  0.07
Cl 0.268 0.246 0.006  0.06
Cl 0.662 0.111 0.267  0.07
Li 0.988 0.973 0.054  0.00

***

5.
The following is a DFT calculation (PBE) of K2Tl15Hg2 after structural relaxation.

Unit cell a=8.653 b=8.653 c=8.653 alpha=82.18 beta=82.18 gamma=82.18
Fractional positions:
Tl 0.000 0.706 0.294
Tl 0.357 0.357 0.848
Tl 0.000 0.500 0.000
Tl 0.706 0.294 0.000
Tl 0.706 0.000 0.294
Tl 0.500 0.000 0.000
Tl 0.294 0.000 0.706
Tl 0.000 0.294 0.706
Tl 0.643 0.643 0.152
Tl 0.643 0.152 0.643
Tl 0.357 0.848 0.357
Tl 0.000 0.000 0.500
Tl 0.152 0.643 0.643
Tl 0.848 0.357 0.357
Tl 0.294 0.706 0.000
K 0.331 0.331 0.331
K 0.669 0.669 0.669
Hg 0.103 0.103 0.103
Hg 0.897 0.897 0.897

***

6.
The following is a DFT calculation (PBE) of Ac2NdPd9 after structural relaxation.

Properties
energy above the lowest structure with this stoichiometry: 0.58 eV per formula unit

Unit cell a=5.497 b=5.497 c=9.754 alpha=73.63 beta=73.63 gamma=60.00
Fractional positions:
Pd 0.583 0.583 0.752
Pd 0.417 0.919 0.248
Pd 0.500 0.500 0.500
Pd 0.417 0.417 0.248
Pd 0.583 0.081 0.752
Pd 0.919 0.417 0.248
Pd 0.333 0.333 0.001
Pd 0.667 0.667 0.999
Pd 0.081 0.583 0.752
Ac 0.863 0.863 0.410
Ac 0.137 0.137 0.590
Nd 0.000 0.000 0.000

***

7.
The following is a DFT calculation (PBE) of Ac2HgHPd6 after structural relaxation.

Unit cell a=5.928 b=7.336 c=7.342 alpha=47.63 beta=66.13 gamma=89.98
Fractional positions:
Pd 0.277 0.227 0.445
Pd 0.773 0.724 0.948
Pd 0.277 0.723 0.947
Pd 0.723 0.277 0.053
Pd 0.227 0.276 0.052
Pd 0.723 0.773 0.555
Ac 0.735 0.266 0.530
Ac 0.265 0.734 0.470
H 0.500 0.500 0.000
Hg 0.000 0.000 0.000

***

8.
The following is a DFT calculation (PBE) of Co2ReAu after structural relaxation.

Properties
energy above the lowest structure with this stoichiometry: 0.36 eV per formula unit

Unit cell a=8.780 b=8.780 c=8.780 alpha=17.83 beta=17.83 gamma=17.83
Last column: magnetic moment on the atom in μB.
Fractional positions:
Co 0.505 0.505 0.505  1.10
Co 0.995 0.995 0.995  1.10
Au 0.750 0.750 0.750  -0.02
Re 0.250 0.250 0.250  -0.07

***

9.
The following is a DFT calculation (PBE) of NaNdCl3 after structural relaxation.

Properties
energy relative to the elements, uncorrected: -902 kJ/mol of formula units

Unit cell a=3.876 b=8.000 c=9.221 alpha=102.27 beta=90.00 gamma=90.00
Last column: magnetic moment on the atom in μB.
Fractional positions:
Na 0.750 0.616 0.851  0.00
Na 0.250 0.384 0.149  0.00
Cl 0.250 0.413 0.647  0.01
Cl 0.250 0.895 0.687  0.01
Cl 0.250 0.722 0.056  0.01
Cl 0.750 0.587 0.353  0.01
Cl 0.750 0.105 0.313  0.01
Cl 0.750 0.278 0.944  0.01
Nd 0.750 0.148 0.637  0.45
Nd 0.250 0.852 0.363  0.45

***

10.
The following is a DFT calculation (PBE) of SnGeP2 after structural relaxation.

Properties
energy above the lowest structure with this stoichiometry: 0.00 eV per formula unit

Unit cell a=5.324 b=5.984 c=10.367 alpha=90.00 beta=90.00 gamma=90.00
Fractional positions:
Ge 0.489 0.977 0.375
Ge 0.511 0.477 0.625
Ge 0.011 0.477 0.875
Ge 0.989 0.977 0.125
P 0.496 0.384 0.383
P 0.004 0.884 0.883
P 0.988 0.413 0.633
P 0.996 0.384 0.117
P 0.504 0.884 0.617
P 0.488 0.413 0.867
P 0.012 0.913 0.367
P 0.512 0.913 0.133
Sn 0.500 0.477 0.125
Sn 0.000 0.477 0.375
Sn 0.500 0.977 0.875
Sn 0.000 0.977 0.625

***

11.
The following is a DFT calculation (PBE) of Mn2InTe after structural relaxation.

Properties
energy above the lowest structure with this stoichiometry: 0.34 eV per formula unit
energy relative to the elements, uncorrected: 103 kJ/mol of formula units

Unit cell a=3.912 b=3.912 c=7.100 alpha=74.43 beta=74.43 gamma=59.33
Last column: magnetic moment on the atom in μB.
Fractional positions:
Te 0.750 0.750 0.750  -0.01
Mn 0.498 0.498 0.504  3.79
Mn 0.002 0.002 0.996  3.79
In 0.250 0.250 0.250  -0.14

***

12.
The following is a DFT calculation (PBE) of Er4Zn2In after structural relaxation.

Properties
energy above the lowest structure with this stoichiometry: 0.91 eV per formula unit

Unit cell a=4.922 b=4.922 c=9.527 alpha=75.03 beta=75.03 gamma=60.00
Fractional positions:
Zn 0.902 0.902 0.294
Zn 0.098 0.098 0.706
In 0.000 0.000 0.000
Er 0.797 0.797 0.610
Er 0.203 0.203 0.390
Er 0.382 0.382 0.853
Er 0.618 0.618 0.147

***

13.
The following is a DFT calculation (PBE) of AcHO after structural relaxation.

Properties
energy above the lowest structure with this stoichiometry: 0.13 eV per formula unit

Unit cell a=6.319 b=4.162 c=7.559 alpha=90.00 beta=146.59 gamma=90.00
Fractional positions:
H 0.371 0.750 0.748
H 0.629 0.250 0.252
Ac 0.046 0.250 0.251
Ac 0.954 0.750 0.749
O 0.750 0.250 0.750
O 0.250 0.750 0.250

***

14.
The following is a DFT calculation (PBE) of HfTaAl3 after structural relaxation.

Properties
energy above the lowest structure with this stoichiometry: 4.21 eV per formula unit

Unit cell a=4.835 b=4.835 c=4.835 alpha=90.00 beta=90.00 gamma=90.00
Fractional positions:
Al 0.000 0.000 0.500
Al 0.500 0.000 0.000
Al 0.000 0.500 0.000
Hf 0.500 0.500 0.500
Ta 0.000 0.000 0.000

***

15.
The following is a DFT calculation (PBE) of BeHgPCl2 after structural relaxation.

Properties
energy above the lowest structure with this stoichiometry: 4.61 eV per formula unit
energy relative to the elements, uncorrected: 430 kJ/mol of formula units

Unit cell a=5.330 b=5.330 c=5.088 alpha=90.00 beta=90.00 gamma=90.00
Last column: magnetic moment on the atom in μB.
Fractional positions:
Be 0.500 0.500 0.500  -0.15
P 0.000 0.000 0.500  0.65
Cl 0.000 0.500 0.000  0.03
Cl 0.500 0.000 0.000  0.03
Hg 0.000 0.000 0.000  0.01

***

16.
The following is a DFT calculation (PBE) of Mn2Cu3Pt4 after structural relaxation.

Unit cell a=3.915 b=4.632 c=8.078 alpha=75.41 beta=89.96 gamma=64.98
Last column: magnetic moment on the atom in μB.
Fractional positions:
Cu 0.663 0.676 0.550  0.05
Cu 0.337 0.324 0.450  0.05
Cu 0.000 0.000 0.000  0.04
Mn 0.329 0.343 0.777  3.69
Mn 0.671 0.657 0.223  3.69
Pt 0.335 0.329 0.112  0.16
Pt 0.010 0.980 0.336  0.17
Pt 0.665 0.671 0.888  0.16
Pt 0.990 0.020 0.664  0.17

***

17.
The following is a DFT calculation (PBE) of Ac2NdDyTe5 after structural relaxation.

Properties
energy relative to the elements, uncorrected: -888 kJ/mol of formula units

Unit cell a=5.506 b=5.506 c=11.835 alpha=90.00 beta=90.00 gamma=90.00
Fractional positions:
Te 0.000 0.500 0.500
Te 0.500 0.500 0.000
Te 0.000 0.000 0.751
Te 0.500 0.000 0.500
Te 0.000 0.000 0.249
Ac 0.500 0.500 0.301
Ac 0.500 0.500 0.699
Nd 0.000 0.000 0.000
Dy 0.000 0.000 0.500

***

18.
The following is a DFT calculation (PBE) of TbPrGaPt after structural relaxation.

Properties
energy above the lowest structure with this stoichiometry: 0.42 eV per formula unit

Unit cell a=5.129 b=5.129 c=5.129 alpha=60.00 beta=60.00 gamma=60.00
Fractional positions:
Pr 0.500 0.500 0.500
Pt 0.750 0.750 0.750
Tb 0.000 0.000 0.000
Ga 0.250 0.250 0.250

***

19.
The following is a DFT calculation (PBE) of CsCuSnTe3 after structural relaxation.

Properties
energy relative to the elements, uncorrected: -240 kJ/mol of formula units

Unit cell a=4.350 b=10.614 c=10.574 alpha=114.36 beta=90.00 gamma=90.00
Fractional positions:
Te 0.250 0.129 0.841
Te 0.750 0.202 0.545
Te 0.750 0.871 0.159
Te 0.750 0.473 0.158
Te 0.250 0.798 0.455
Te 0.250 0.527 0.842
Cu 0.750 0.935 0.432
Cu 0.250 0.065 0.568
Sn 0.750 0.329 0.854
Sn 0.250 0.671 0.146
Cs 0.250 0.207 0.243
Cs 0.750 0.793 0.757

***

20.
The following is a DFT calculation (PBE) of Li4HgCl6 after structural relaxation.

Properties
energy relative to the elements, uncorrected: -1529 kJ/mol of formula units

Unit cell a=7.136 b=7.176 c=13.441 alpha=72.65 beta=74.61 gamma=60.19
Fractional positions:
Cl 0.298 0.094 0.464
Cl 0.930 0.978 0.711
Cl 0.969 0.786 0.461
Cl 0.469 0.909 0.979
Cl 0.143 0.594 0.964
Cl 0.571 0.680 0.724
Cl 0.644 0.409 0.479
Cl 0.785 0.286 0.961
Cl 0.026 0.180 0.224
Cl 0.798 0.832 0.213
Cl 0.157 0.332 0.713
Cl 0.381 0.478 0.211
Li 0.902 0.720 0.654
Li 0.261 0.990 0.653
Li 0.123 0.794 0.270
Li 0.096 0.490 0.153
Li 0.724 0.220 0.154
Li 0.814 0.294 0.770
Li 0.475 0.638 0.914
Li 0.973 0.138 0.414
Hg 0.186 0.266 0.912
Hg 0.636 0.766 0.412

***

21.
The following is a DFT calculation (PBE) of AcNdB12 after structural relaxation.

Unit cell a=4.171 b=4.171 c=8.336 alpha=90.00 beta=90.00 gamma=90.00
Fractional positions:
B 0.500 0.500 0.901
B 0.200 0.500 0.247
B 0.800 0.500 0.247
B 0.200 0.500 0.753
B 0.500 0.500 0.399
B 0.500 0.200 0.247
B 0.500 0.500 0.601
B 0.500 0.800 0.753
B 0.500 0.200 0.753
B 0.500 0.500 0.099
B 0.800 0.500 0.753
B 0.500 0.800 0.247
Ac 0.000 0.000 0.500
Nd 0.000 0.000 0.000

***

The records above give, respectively, energy values of -49.81 -29.16 -16.63 -38.89 -38.46 -67.93 -49.03 -28.97 -41.95 -77.00 -23.15 -24.13 -37.51 -28.65 -8.67 -57.16 -42.50 -21.54 -41.73 -69.76 -96.10 eV for the cell shown.